Entry 1:
An optimized crystal structure of CsTlS4. Source: Alexandria, functional PBE.

Cell and atoms, written as extended XYZ:
```
6
Lattice="5.396 0.000 0.000 0.623 5.368 0.000 0.870 1.349 7.053" Properties=species:S:1:pos:R:3 pbc="T T T"
Cs 0.000 0.000 0.000
Tl 4.288 5.017 3.843
S 1.218 1.211 3.348
S 1.909 3.046 2.702
S 3.478 3.696 6.453
S 3.392 2.828 1.251
```

Output
- Total DFT energy (no corrections): -22.4 eV per formula unit
- Magnetic moment: 0.000 μB per cell

=====

Entry 2:
An optimized crystal structure of Cu2SiRuRh. Source: Alexandria, functional PBE.

Cell and atoms, written as extended XYZ:
```
5
Lattice="4.589 0.000 0.000 0.000 4.589 0.000 0.000 0.000 4.348" Properties=species:S:1:pos:R:3 pbc="T T T"
Cu 0.000 2.294 0.000
Cu 2.294 0.000 0.000
Si 0.000 0.000 2.174
Ru 2.294 2.294 2.174
Rh 0.000 0.000 0.000
```

Output
- Total DFT energy (no corrections): -24.7 eV per formula unit
- Magnetic moment: 2.116 μB per cell

=====

Entry 3:
An optimized crystal structure of BaAgRu2. Source: Alexandria, functional PBE.

Cell and atoms, written as extended XYZ:
```
4
Lattice="1.494 0.863 10.249 -1.494 0.863 10.249 0.000 -1.725 10.249" Properties=species:S:1:pos:R:3 pbc="T T T"
Ba 0.000 0.000 0.000
Ag 0.000 0.000 15.374
Ru 0.000 0.000 7.398
Ru 0.000 0.000 23.350
```

Output
- Polymorph energy (0 for the lowest one): 332 kJ/mol of formula units
- Energy relative to the elements: 4.64 eV/f.u.
- Magnetic moment: 1.923 μB per cell

=====

Entry 4:
An optimized crystal structure of ScSiHg2. Source: Alexandria, functional PBE.

Cell and atoms, written as extended XYZ:
```
4
Lattice="1.677 0.968 9.032 -1.677 0.968 9.032 0.000 -1.936 9.032" Properties=species:S:1:pos:R:3 pbc="T T T"
Sc 0.000 0.000 0.000
Si 0.000 0.000 7.024
Hg 0.000 0.000 13.845
Hg 0.000 0.000 20.364
```

Output
- Total DFT energy (no corrections): -12.1 eV per formula unit
- Magnetic moment: 0.000 μB per cell

=====

Entry 5:
An optimized crystal structure of K4Cd5Au2. Source: Alexandria, functional PBE.

Cell and atoms, written as extended XYZ:
```
11
Lattice="7.528 0.000 0.000 0.000 5.557 0.000 -1.042 0.000 8.636" Properties=species:S:1:pos:R:3 pbc="T T T"
K 1.325 0.000 3.197
K 0.773 0.000 7.878
K 5.713 0.000 0.757
K 5.161 0.000 5.439
Cd 0.508 2.779 5.457
Cd 3.304 2.779 1.384
Cd 3.243 2.779 4.318
Cd 3.182 2.779 7.251
Cd 5.978 2.779 3.179
Au 0.506 2.779 1.299
Au 5.980 2.779 7.336
```

Output
- Energy relative to the elements: -1.45 eV/f.u.
- Magnetic moment: 0.000 μB per cell

=====

Entry 6:
An optimized crystal structure of Ba2CaNd. Source: Alexandria, functional PBE.

Cell and atoms, written as extended XYZ:
```
4
Lattice="1.965 1.135 14.266 -1.965 1.135 14.266 0.000 -2.269 14.266" Properties=species:S:1:pos:R:3 pbc="T T T"
Ba 0.000 0.000 3.664
Ba 0.000 0.000 39.133
Ca 0.000 0.000 21.399
Nd 0.000 0.000 0.000
```

Output
- Polymorph energy (0 for the lowest one): 55 kJ/mol of formula units
- Energy relative to the elements: 1.15 eV/f.u.
- Magnetic moment: 0.521 μB per cell